No. 1
Crystalline Rb2MnZn2Se4 at its relaxed geometry, computed with PBE-GGA.

Summary:
Space group: C2/m, No. 12
Formation energy from raw total energies in eV per formula unit: -7.3

Cell: 4.041 8.231 7.950 Å, 106.93 90.00 104.21°
Each line ends with the local moment (μB).
Element x y z (fractional)
1 Se 0.520 0.039 0.787  0.05
2 Rb 0.875 0.750 0.458  0.00
3 Se 0.480 0.961 0.213  0.05
4 Se 0.792 0.584 0.823  0.02
5 Zn 0.670 0.341 0.982  0.01
6 Mn 0.000 0.000 0.000  4.34
7 Rb 0.125 0.250 0.542  0.00
8 Se 0.208 0.416 0.177  0.02
9 Zn 0.330 0.659 0.018  0.01



No. 2
Crystalline Sm2Pa2Ge2C at its relaxed geometry, computed with PBE-GGA.

Summary:
Space group: I4/mmm, No. 139
ΔH_f (0 K) in eV/atom: -0.532

Cell: 4.619 4.619 8.552 Å, 105.67 105.67 90.00°
Element x y z (fractional)
1 Pa 0.500 0.000 0.000
2 Ge 0.634 0.634 0.267
3 Sm 0.173 0.173 0.346
4 Ge 0.366 0.366 0.733
5 C 0.000 0.000 0.000
6 Sm 0.827 0.827 0.654
7 Pa 0.000 0.500 0.000



No. 3
Crystalline Y2ZrP at its relaxed geometry, computed with PBE-GGA.

Summary:
Space group: Amm2, No. 38
ΔH_f (0 K) in eV/atom: -0.579

Cell: 6.035 6.035 4.215 Å, 90.00 90.00 140.61°
Element x y z (fractional)
1 P 0.680 0.320 0.500
2 Y 0.106 0.894 0.000
3 Y 0.408 0.592 0.500
4 Zr 0.819 0.181 0.000



No. 4
Crystalline GeSe2Cl at its relaxed geometry, computed with PBE-GGA.

Summary:
Space group: Fm-3m, No. 225
Formation energy from raw total energies in eV per formula unit: 1.6
Energy above the most stable polymorph in this dataset in meV/atom: 538

Cell: 4.860 4.860 4.860 Å, 60.00 60.00 60.00°
Element x y z (fractional)
1 Ge 0.500 0.500 0.500
2 Se 0.250 0.250 0.250
3 Se 0.750 0.750 0.750
4 Cl 0.000 0.000 0.000



No. 5
Crystalline AcCeBN3 at its relaxed geometry, computed with PBE-GGA.

Summary:
Space group: P6_3/mmc, No. 194
Formation energy from raw total energies in eV per formula unit: -7.0

Cell: 5.816 5.816 6.176 Å, 90.00 90.00 120.00°
Each line ends with the local moment (μB).
Element x y z (fractional)
1 Ce 0.000 0.000 0.000  0.78
2 N 0.188 0.375 0.250  -0.02
3 N 0.625 0.812 0.250  -0.02
4 Ac 0.333 0.667 0.750  0.02
5 N 0.375 0.188 0.750  -0.02
6 N 0.812 0.188 0.750  -0.02
7 Ce 0.000 0.000 0.500  0.78
8 N 0.188 0.812 0.250  -0.02
9 B 0.667 0.333 0.750  0.00
10 Ac 0.667 0.333 0.250  0.02
11 B 0.333 0.667 0.250  0.00
12 N 0.812 0.625 0.750  -0.02



No. 6
Crystalline DyPdN at its relaxed geometry, computed with PBE-GGA.

Summary:
Space group: P-6m2, No. 187
Formation energy from raw total energies in eV per formula unit: 1.4

Cell: 4.693 4.693 3.853 Å, 90.00 90.00 120.00°
Each line ends with the local moment (μB).
Element x y z (fractional)
1 Dy 0.333 0.667 0.500  0.24
2 Pd 0.667 0.333 0.500  0.06
3 N 0.667 0.333 0.000  0.06